[1]
Ti2GaBr8 | PBE-GGA | optimized geometry

a b c (Å): 7.0349 8.5189 8.5189
angles (deg): 74.56 83.96 83.96
Fractional positions:
Br1 0.6933 0.1923 0.1923
Br2 0.2360 0.3005 0.9400
Br3 0.7640 0.6995 0.0600
Br4 0.2187 0.3753 0.3753
Br5 0.7813 0.6247 0.6247
Br6 0.2360 0.9400 0.3005
Br7 0.7640 0.0600 0.6995
Br8 0.3067 0.8077 0.8077
Ti1 0.6489 0.7936 0.7936
Ti2 0.3511 0.2064 0.2064
Ga1 0.0000 0.0000 0.0000

Results
The value obtained for the energy relative to the elements, uncorrected is -1.0414 eV/atom. For the total energy, the calculation gives -43.66 eV/cell. As for the density of states at the Fermi level: 8.6 states/eV/f.u.

[2]
Na5NpBi6 | PBE-GGA | optimized geometry

a b c (Å): 5.8846 7.1506 9.1485
angles (deg): 67.15 86.80 90.16
Fractional positions:
Bi1 0.8346 0.0805 0.3218
Bi2 0.1654 0.9195 0.6782
Bi3 0.4998 0.7662 0.9996
Bi4 0.8350 0.5985 0.3222
Bi5 0.1650 0.4015 0.6778
Bi6 0.5002 0.2338 0.0004
Np1 0.0000 0.0000 0.0000
Na1 0.6654 0.1782 0.6437
Na2 0.6716 0.6646 0.6700
Na3 0.3284 0.3354 0.3300
Na4 0.0000 0.5000 0.0000
Na5 0.3346 0.8218 0.3563

Results
For the formation energy from the elements, the calculation gives -260.1 kJ/mol of formula units. For the total energy, the calculation gives -45.52 eV/cell. As for the density of states at the Fermi level: 12.3 states/eV/f.u.